# 1
Crystalline Li6Ti2O7 at its relaxed geometry. Source: Alexandria via LeMat-Bulk, functional PBE.

Geometry as CIF:
```
data_Li6Ti2O7
_symmetry_space_group_name_H-M 'P 42 n m'
_symmetry_Int_Tables_number 102
_cell_length_a 10.0776
_cell_length_b 10.0776
_cell_length_c 2.9593
_cell_angle_alpha 90.00
_cell_angle_beta 90.00
_cell_angle_gamma 90.00
loop_
_symmetry_equiv_pos_as_xyz
'x,y,z'
'-y+1/2,x+1/2,z+1/2'
'-x,-y,z'
'y+1/2,-x+1/2,z+1/2'
'-x+1/2,y+1/2,z+1/2'
'y,x,z'
'x+1/2,-y+1/2,z+1/2'
'-y,-x,z'
loop_
_atom_site_label
_atom_site_fract_x
_atom_site_fract_y
_atom_site_fract_z
_atom_site_occupancy
Li1 0.0859 0.0859 0.0000 1
Li2 0.1082 0.3011 0.4997 1
Ti1 0.1517 0.8483 0.5113 1
O1 0.0000 0.0000 0.4997 1
O2 0.0518 0.7568 0.9956 1
O3 0.2198 0.2198 0.9998 1
```

## Properties
* Fermi-level density of states: 0.0 states/eV/f.u.
* total magnetization: 0.0 μB per cell
* excess energy over the best structure of this formula in the dataset: 68.0 meV/atom
* energy relative to the elements, uncorrected: -2.410 eV per atom

***

# 2
Crystalline K2AcAgCl6 at its relaxed geometry. Source: Alexandria via LeMat-Bulk, functional PBE.

Geometry as CIF:
```
data_K2AcAgCl6
_symmetry_space_group_name_H-M 'P 1 21/c 1'
_symmetry_Int_Tables_number 14
_cell_length_a 7.4523
_cell_length_b 7.7745
_cell_length_c 12.9391
_cell_angle_alpha 90.00
_cell_angle_beta 122.33
_cell_angle_gamma 90.00
loop_
_symmetry_equiv_pos_as_xyz
'x,y,z'
'-x,-y,-z'
'-x,y+1/2,-z+1/2'
'x,-y+1/2,z+1/2'
loop_
_atom_site_label
_atom_site_fract_x
_atom_site_fract_y
_atom_site_fract_z
_atom_site_occupancy
K1 0.2098 0.0719 0.2411 1
Ac1 0.5000 0.0000 0.0000 1
Ag1 0.0000 0.0000 0.5000 1
Cl1 0.1340 0.2037 0.9415 1
Cl2 0.2323 0.6992 0.9345 1
Cl3 0.3730 0.0443 0.7492 1
```

## Properties
* Fermi-level density of states: 0.0 states/eV/f.u.
* total magnetization: 0.0 μB per cell
* energy relative to the elements, uncorrected: -1.838 eV per atom

***

# 3
Crystalline Ca6HN4 at its relaxed geometry. Source: Alexandria via LeMat-Bulk, functional PBE.

Geometry as CIF:
```
data_Ca6HN4
_symmetry_space_group_name_H-M 'C m c m'
_symmetry_Int_Tables_number 63
_symmetry_space_group_name_Hall '-C 2c 2'
_cell_length_a 3.5052
_cell_length_b 11.8929
_cell_length_c 18.3518
_cell_angle_alpha 90.00
_cell_angle_beta 90.00
_cell_angle_gamma 90.00
loop_
_atom_site_label
_atom_site_fract_x
_atom_site_fract_y
_atom_site_fract_z
_atom_site_occupancy
Ca1 0.0000 0.0000 0.0000 1
Ca2 0.0000 0.1961 0.2500 1
Ca3 0.0000 0.2761 0.5760 1
Ca4 0.0000 0.4748 0.1526 1
H1 0.0000 0.1555 0.7500 1
N1 0.0000 0.1041 0.1407 1
N2 0.0000 0.3683 0.0453 1
```

## Properties
* Fermi-level density of states: 5.9 states/eV/f.u.
* total magnetization: 3.4 μB per cell
* VASP energy: -223.35 eV/cell

***

# 4
Crystalline ReNiBr3 at its relaxed geometry. Source: Alexandria via LeMat-Bulk, functional PBE.

Geometry as CIF:
```
data_ReNiBr3
_symmetry_space_group_name_H-M 'P m -3 m'
_symmetry_Int_Tables_number 221
_symmetry_space_group_name_Hall '-P 4 2 3'
_cell_length_a 5.1402
_cell_length_b 5.1402
_cell_length_c 5.1402
_cell_angle_alpha 90.00
_cell_angle_beta 90.00
_cell_angle_gamma 90.00
loop_
_atom_site_label
_atom_site_fract_x
_atom_site_fract_y
_atom_site_fract_z
_atom_site_occupancy
Re1 0.0000 0.0000 0.0000 1
Ni1 0.5000 0.5000 0.5000 1
Br1 0.0000 0.0000 0.5000 1
```

## Properties
* Fermi-level density of states: 18.8 states/eV/f.u.
* total magnetization: 1.8 μB per cell
* excess energy over the best structure of this formula in the dataset: 39.1 meV/atom
* energy relative to the elements, uncorrected: 1.025 eV per atom

***

Copy entry 1 word for word.
Crystalline Li6Ti2O7 at its relaxed geometry. Source: Alexandria via LeMat-Bulk, functional PBE.

Geometry as CIF:
```
data_Li6Ti2O7
_symmetry_space_group_name_H-M 'P 42 n m'
_symmetry_Int_Tables_number 102
_cell_length_a 10.0776
_cell_length_b 10.0776
_cell_length_c 2.9593
_cell_angle_alpha 90.00
_cell_angle_beta 90.00
_cell_angle_gamma 90.00
loop_
_symmetry_equiv_pos_as_xyz
'x,y,z'
'-y+1/2,x+1/2,z+1/2'
'-x,-y,z'
'y+1/2,-x+1/2,z+1/2'
'-x+1/2,y+1/2,z+1/2'
'y,x,z'
'x+1/2,-y+1/2,z+1/2'
'-y,-x,z'
loop_
_atom_site_label
_atom_site_fract_x
_atom_site_fract_y
_atom_site_fract_z
_atom_site_occupancy
Li1 0.0859 0.0859 0.0000 1
Li2 0.1082 0.3011 0.4997 1
Ti1 0.1517 0.8483 0.5113 1
O1 0.0000 0.0000 0.4997 1
O2 0.0518 0.7568 0.9956 1
O3 0.2198 0.2198 0.9998 1
```

## Properties
* Fermi-level density of states: 0.0 states/eV/f.u.
* total magnetization: 0.0 μB per cell
* excess energy over the best structure of this formula in the dataset: 68.0 meV/atom
* energy relative to the elements, uncorrected: -2.410 eV per atom

***

- What is the total magnetization in the fourth record?
  1.8 μB per cell